1.
Compound: KVCdBr6
Source: the Alexandria database
Functional: PBE
Structure: optimized geometry

a = 7.0234 Å, b = 7.0234 Å, c = 14.4144 Å
α = 90.00°, β = 90.00°, γ = 120.00°
Atoms (fractional coordinates):
K 0.0000 0.0000 0.0000
K 0.0000 0.0000 0.5000
V 0.3333 0.6667 0.2500
V 0.6667 0.3333 0.7500
Cd 0.3333 0.6667 0.7500
Cd 0.6667 0.3333 0.2500
Br 0.0268 0.3845 0.1455
Br 0.0268 0.6423 0.3545
Br 0.3577 0.3845 0.3545
Br 0.3577 0.9732 0.1455
Br 0.3845 0.0268 0.6455
Br 0.3845 0.3577 0.8545
Br 0.6155 0.6423 0.1455
Br 0.6155 0.9732 0.3545
Br 0.6423 0.0268 0.8545
Br 0.6423 0.6155 0.6455
Br 0.9732 0.3577 0.6455
Br 0.9732 0.6155 0.8545

Values from the calculation:
* space group: P-31c (163)
* crystal system: trigonal
* energy relative to the elements, uncorrected: -1.04 eV per atom

***

2.
Compound: Sm8HoTm6
Source: the Alexandria database
Functional: PBE
Structure: optimized geometry

a = 9.3498 Å, b = 9.3498 Å, c = 6.4626 Å
α = 90.00°, β = 90.00°, γ = 120.00°
Atoms (fractional coordinates):
Sm 0.0377 0.7523 0.1689
Sm 0.2477 0.2854 0.1689
Sm 0.2854 0.0377 0.8311
Sm 0.3333 0.6667 0.1247
Sm 0.6667 0.3333 0.8753
Sm 0.7146 0.9623 0.1689
Sm 0.7523 0.7146 0.8311
Sm 0.9623 0.2477 0.8311
Ho 0.0000 0.0000 0.5000
Tm 0.0954 0.6548 0.6609
Tm 0.3452 0.4405 0.6609
Tm 0.4405 0.0954 0.3391
Tm 0.5595 0.9046 0.6609
Tm 0.6548 0.5595 0.3391
Tm 0.9046 0.3452 0.3391

Values from the calculation:
* offset from the most stable computed form: 0.00 kJ per mole of atoms
* space group: P-3 (147)
* crystal system: trigonal
* ΔE_f: 0.182 eV per atom

***

3.
Compound: Sc3Ag
Source: the Alexandria database
Functional: PBE
Structure: optimized geometry

a = 3.3459 Å, b = 3.3459 Å, c = 9.5217 Å
α = 90.00°, β = 90.00°, γ = 120.00°
Atoms (fractional coordinates):
Sc 0.0000 0.0000 0.0000
Sc 0.3333 0.6667 0.2669
Sc 0.3333 0.6667 0.7331
Ag 0.0000 0.0000 0.5000

Values from the calculation:
* offset from the most stable computed form: 9.22 kJ per mole of atoms
* space group: P-6m2 (187)
* crystal system: hexagonal
* ΔE_f: -0.036 eV per atom

***

4.
Compound: AcEu2N
Source: the Alexandria database
Functional: PBE
Structure: optimized geometry

a = 3.7421 Å, b = 3.7421 Å, c = 29.6570 Å
α = 90.00°, β = 90.00°, γ = 120.00°
Atoms (fractional coordinates):
Ac 0.0000 0.0000 0.0000
Ac 0.3333 0.6667 0.6667
Ac 0.6667 0.3333 0.3333
Eu 0.0000 0.0000 0.2127
Eu 0.0000 0.0000 0.7873
Eu 0.3333 0.6667 0.4540
Eu 0.3333 0.6667 0.8794
Eu 0.6667 0.3333 0.1206
Eu 0.6667 0.3333 0.5460
N 0.0000 0.0000 0.5000
N 0.3333 0.6667 0.1667
N 0.6667 0.3333 0.8333

Values from the calculation:
* offset from the most stable computed form: 0.00 kJ per mole of atoms
* space group: R-3m (166)
* crystal system: trigonal
* energy relative to the elements, uncorrected: -0.48 eV per atom

***

5.
Compound: Re2HgMo
Source: the Alexandria database
Functional: PBE
Structure: optimized geometry

a = 2.8749 Å, b = 4.0390 Å, c = 5.8056 Å
α = 90.00°, β = 90.00°, γ = 90.00°
Atoms (fractional coordinates):
Re 0.0000 0.0000 0.2086
Re 0.0000 0.0000 0.7914
Hg 0.5000 0.5000 0.5000
Mo 0.5000 0.5000 0.0000

Values from the calculation:
* space group: Pmmm (47)
* crystal system: orthorhombic
* ΔE_f: 0.512 eV per atom

***

6.
Compound: BaCo2AsP
Source: the Alexandria database
Functional: PBE
Structure: optimized geometry

a = 7.0154 Å, b = 3.9030 Å, c = 7.7425 Å
α = 90.00°, β = 105.61°, γ = 90.00°
Atoms (fractional coordinates):
Ba 0.0631 0.2500 0.2537
Ba 0.9369 0.7500 0.7463
Co 0.4966 0.2500 0.1176
Co 0.4986 0.7500 0.3672
Co 0.5014 0.2500 0.6328
Co 0.5034 0.7500 0.8824
As 0.3157 0.7500 0.5791
As 0.6843 0.2500 0.4209
P 0.3345 0.7500 0.0846
P 0.6655 0.2500 0.9154

Values from the calculation:
* space group: P2_1/m (11)
* crystal system: monoclinic
* ΔE_f: -0.655 eV per atom

***

7.
Compound: Pm15TmIn4
Source: the Alexandria database
Functional: PBE
Structure: optimized geometry

a = 4.9584 Å, b = 4.9584 Å, c = 25.2272 Å
α = 90.00°, β = 90.00°, γ = 90.00°
Atoms (fractional coordinates):
Pm 0.0000 0.0000 0.0000
Pm 0.0000 0.0000 0.2035
Pm 0.0000 0.0000 0.4013
Pm 0.0000 0.0000 0.5987
Pm 0.0000 0.0000 0.7965
Pm 0.0000 0.5000 0.1043
Pm 0.0000 0.5000 0.3025
Pm 0.0000 0.5000 0.5000
Pm 0.0000 0.5000 0.6975
Pm 0.0000 0.5000 0.8957
Pm 0.5000 0.0000 0.1043
Pm 0.5000 0.0000 0.3025
Pm 0.5000 0.0000 0.5000
Pm 0.5000 0.0000 0.6975
Pm 0.5000 0.0000 0.8957
Tm 0.5000 0.5000 0.0000
In 0.5000 0.5000 0.2051
In 0.5000 0.5000 0.4014
In 0.5000 0.5000 0.5986
In 0.5000 0.5000 0.7949

Values from the calculation:
* space group: P4/mmm (123)
* crystal system: tetragonal
* ΔE_f: -0.211 eV per atom

***

8.
Compound: Ce3Zn9In2
Source: the Alexandria database
Functional: PBE
Structure: optimized geometry

a = 8.5073 Å, b = 8.5073 Å, c = 8.5073 Å
α = 148.90°, β = 116.61°, γ = 72.29°
Atoms (fractional coordinates):
Ce 0.0000 0.0000 0.0000
Ce 0.2893 0.2893 0.0000
Ce 0.7107 0.7107 0.0000
Zn 0.0242 0.6615 0.3627
Zn 0.1317 0.8510 0.2807
Zn 0.2989 0.6615 0.6373
Zn 0.4296 0.1490 0.2807
Zn 0.5000 0.0000 0.5000
Zn 0.5704 0.8510 0.7193
Zn 0.7011 0.3385 0.3627
Zn 0.8683 0.1490 0.7193
Zn 0.9758 0.3385 0.6373
In 0.3099 0.5000 0.8099
In 0.6901 0.5000 0.1901

Values from the calculation:
* space group: Immm (71)
* crystal system: orthorhombic
* ΔE_f: -0.267 eV per atom

***

9.
Compound: VHRu2
Source: the Alexandria database
Functional: PBE
Structure: optimized geometry

a = 5.7415 Å, b = 5.7415 Å, c = 5.7415 Å
α = 90.00°, β = 90.00°, γ = 90.00°
Atoms (fractional coordinates):
V 0.0000 0.0000 0.0000
V 0.0000 0.5000 0.5000
V 0.5000 0.0000 0.5000
V 0.5000 0.5000 0.0000
H 0.0000 0.0000 0.5000
H 0.0000 0.5000 0.0000
H 0.5000 0.0000 0.0000
H 0.5000 0.5000 0.5000
Ru 0.2500 0.2500 0.2500
Ru 0.2500 0.2500 0.7500
Ru 0.2500 0.7500 0.2500
Ru 0.2500 0.7500 0.7500
Ru 0.7500 0.2500 0.2500
Ru 0.7500 0.2500 0.7500
Ru 0.7500 0.7500 0.2500
Ru 0.7500 0.7500 0.7500

Values from the calculation:
* offset from the most stable computed form: 40.08 kJ per mole of atoms
* space group: Fm-3m (225)
* crystal system: cubic

***

10.
Compound: Pr2Zn4Ga3Rh
Source: the Alexandria database
Functional: PBE
Structure: optimized geometry

a = 4.2618 Å, b = 4.2618 Å, c = 10.5932 Å
α = 90.00°, β = 90.00°, γ = 90.00°
Atoms (fractional coordinates):
Pr 0.0000 0.5000 0.2449
Pr 0.5000 0.0000 0.7551
Zn 0.0000 0.0000 0.5000
Zn 0.0000 0.5000 0.8682
Zn 0.5000 0.0000 0.1318
Zn 0.5000 0.5000 0.5000
Ga 0.0000 0.0000 0.0000
Ga 0.0000 0.5000 0.6351
Ga 0.5000 0.0000 0.3649
Rh 0.5000 0.5000 0.0000

Values from the calculation:
* space group: P-4m2 (115)
* crystal system: tetragonal
* ΔE_f: -0.459 eV per atom

***

11.
Compound: TmZn2Ga2Au2
Source: the Alexandria database
Functional: PBE
Structure: optimized geometry

a = 7.9247 Å, b = 7.9247 Å, c = 7.9247 Å
α = 32.98°, β = 32.98°, γ = 32.98°
Atoms (fractional coordinates):
Tm 0.0000 0.0000 0.0000
Zn 0.1346 0.1346 0.1346
Zn 0.8654 0.8654 0.8654
Ga 0.3992 0.3992 0.3992
Ga 0.6008 0.6008 0.6008
Au 0.2528 0.2528 0.2528
Au 0.7472 0.7472 0.7472

Values from the calculation:
* space group: R-3m (166)
* crystal system: trigonal
* ΔE_f: -0.405 eV per atom

***

Number 1: calculated total energy -3.395 eV per atom, N(E_F) 1.0688 states/eV/atom. Number 2: calculated total energy -4.428 eV per atom, N(E_F) 1.5323 states/eV/atom. Number 3: calculated total energy -5.497 eV per atom, N(E_F) 1.7153 states/eV/atom. Number 4: calculated total energy -8.726 eV per atom, N(E_F) 2.4214 states/eV/atom. Number 5: calculated total energy -8.496 eV per atom, N(E_F) 0.7065 states/eV/atom. Number 6: calculated total energy -5.894 eV per atom, N(E_F) 0.6936 states/eV/atom. Number 7: calculated total energy -4.545 eV per atom, N(E_F) 1.5086 states/eV/atom. Number 8: calculated total energy -2.749 eV per atom, N(E_F) 1.2851 states/eV/atom. Number 9: calculated total energy -7.381 eV per atom, N(E_F) 1.6564 states/eV/atom. Number 10: calculated total energy -3.567 eV per atom, N(E_F) 0.7118 states/eV/atom. Number 11: calculated total energy -3.209 eV per atom, N(E_F) 0.4251 states/eV/atom.